(1)
Material: CuBC3
Method: DFT, SCAN
State: single point on PBEsol structure

Cell lengths 3.4149, 3.4149, 3.4149 Å; angles 90.00, 90.00, 90.00 degrees
With the nearest neighbours (Å) after each atom.
Space group Pm-3m (No. 221)
One atom of each set of equivalent atoms:
Cu  0.0000  0.0000  0.0000 (multiplicity 1)  12 C 2.41
B  0.5000  0.5000  0.5000 (multiplicity 1)  6 C 1.71
C  0.0000  0.5000  0.5000 (multiplicity 3)  2 B 1.71

Results
DFT total energy: -8.109 eV per atom


(2)
Material: CsHf3Pb
Method: DFT, SCAN
State: single point on PBEsol structure

Cell lengths 5.4914, 5.4914, 5.4914 Å; angles 90.00, 90.00, 90.00 degrees
With the nearest neighbours (Å) after each atom.
Space group Pm-3m (No. 221)
One atom of each set of equivalent atoms:
Cs  0.0000  0.0000  0.0000 (multiplicity 1)  12 Hf 3.88
Hf  0.0000  0.5000  0.5000 (multiplicity 3)  2 Pb 2.75
Pb  0.5000  0.5000  0.5000 (multiplicity 1)  6 Hf 2.75

Results
DFT total energy: -58.760 eV per atom


(3)
Material: DySbIr
Method: DFT, SCAN
State: single point on PBEsol structure

Cell lengths 7.0698, 4.4793, 7.8141 Å; angles 90.00, 90.00, 90.00 degrees
With the nearest neighbours (Å) after each atom.
Space group Pnma (No. 62)
One atom of each set of equivalent atoms:
Dy  0.0108  0.2500  0.1927 (multiplicity 4)  5 Ir 2.95-3.20, 5 Sb 3.12-3.24
Sb  0.1780  0.2500  0.5880 (multiplicity 4)  4 Ir 2.64-2.74
Ir  0.2094  0.7500  0.4122 (multiplicity 4)  4 Sb 2.64-2.74, 1 Dy 2.95

Results
ΔE_f (raw): -1.089 eV/atom
DFT total energy: -53.141 eV per atom


> Which of these has the lowest DFT total energy?

CsHf3Pb


> The highest DFT total energy belongs to which entry?

CuBC3